Computed, not measured: Pa5Ti2N12 after structural relaxation at the PBE level of DFT.

It has space group C2/m (No. 12), with a = 12.356 Å, b = 5.904 Å, c = 7.409 Å, α = 90.00°, β = 106.97° and γ = 90.00°. The inequivalent atoms are Pa at (0.000, 0.000, 0.000), Pa at (0.187, 0.500, 0.849), Pa at (0.191, 0.500, 0.341), Ti at (0.000, 0.237, 0.500), N at (0.003, 0.000, 0.309), N at (0.003, 0.500, 0.306), N at (0.155, 0.247, 0.074) and N at (0.171, 0.273, 0.591).

For the size of the total moment, the calculation gives 0.6 μB per formula unit. The value obtained for the total energy is -9.944 eV per atom. The value obtained for the formation energy from raw total energies is -1.356 eV/atom.

---

Computed, not measured: Ca2HPd4Au2 after structural relaxation at the PBE level of DFT.

It has space group I4/mmm (No. 139), with a = 5.931 Å, b = 5.931 Å, c = 8.407 Å, α = 90.00°, β = 90.00° and γ = 90.00°. The inequivalent atoms are Ca at (0.000, 0.000, 0.230), H at (0.000, 0.000, 0.500), Pd at (0.240, 0.240, 0.500) and Au at (0.000, 0.500, 0.250).

For the size of the total moment, the calculation gives 0.0 μB per formula unit. The value obtained for the total energy is -4.403 eV per atom.

---

Computed, not measured: K2PdPb after structural relaxation at the PBE level of DFT.

It has space group I-42d (No. 122), with a = 11.843 Å, b = 11.843 Å, c = 5.249 Å, α = 90.00°, β = 90.00° and γ = 90.00°. The inequivalent atoms are K at (0.091, 0.250, 0.125), Pd at (0.000, 0.000, 0.000) and Pb at (0.000, 0.000, 0.500).

For the size of the total moment, the calculation gives 0.0 μB per formula unit. The value obtained for the total energy is -2.808 eV per atom. Its formation enthalpy at 0 K is -0.03 eV per atom.